Record 1
Material: CdTe2As
Method: DFT, PBE
State: optimized geometry

Cell: 6.689 6.689 4.310 Å, 108.91 108.91 37.55°
Sites, in units of the cell vectors:
1 As 0.497 0.497 0.498
2 Te 0.998 0.998 0.999
3 Te 0.263 0.263 0.262
4 Cd 0.743 0.743 0.741

## Properties
- Energy relative to the elements, uncorrected: -0.041 eV per atom
- Symmetry: Cm
- Offset from the most stable computed form: 0.163 eV per formula unit



Record 2
Material: Sr2PtAuF
Method: DFT, PBE
State: optimized geometry

Cell: 5.792 4.397 5.792 Å, 90.00 90.00 90.00°
Sites, in units of the cell vectors:
1 Sr 0.000 0.000 0.500
2 Sr 0.500 0.000 0.000
3 Au 0.500 0.500 0.500
4 Pt 0.000 0.000 0.000
5 F 0.000 0.500 0.000

## Properties
- Energy relative to the elements, uncorrected: -0.773 eV per atom
- Symmetry: P4/mmm



Record 3
Material: Ac2CeGe3Pd4
Method: DFT, PBE
State: optimized geometry

Cell: 4.453 4.453 11.238 Å, 90.00 90.00 90.00°
Site moments in Bohr magnetons follow the coordinates.
Sites, in units of the cell vectors:
1 Ac 0.500 0.000 0.226  0.01
2 Ac 0.000 0.500 0.774  0.01
3 Ce 0.500 0.500 0.500  0.38
4 Ge 0.000 0.000 0.500  -0.01
5 Ge 0.500 0.000 0.883  0.00
6 Ge 0.000 0.500 0.117  0.00
7 Pd 0.500 0.500 0.000  0.01
8 Pd 0.000 0.000 0.000  0.00
9 Pd 0.500 0.000 0.658  -0.01
10 Pd 0.000 0.500 0.342  -0.01

## Properties
- Symmetry: P-4m2
- DFT formation energy: -810 meV per atom



Record 4
Material: Ac2TmZn
Method: DFT, PBE
State: optimized geometry

Cell: 3.896 3.896 8.949 Å, 90.00 90.00 90.00°
Sites, in units of the cell vectors:
1 Ac 0.000 0.000 0.782
2 Ac 0.000 0.000 0.218
3 Tm 0.500 0.500 0.500
4 Zn 0.500 0.500 0.000

## Properties
- Symmetry: P4/mmm
- Offset from the most stable computed form: 0.000 eV per formula unit
- DFT formation energy: -74 meV per atom



Record 5
Material: TlCr2Ir
Method: DFT, PBE
State: optimized geometry

Cell: 4.518 4.518 4.518 Å, 60.00 60.00 60.00°
Site moments in Bohr magnetons follow the coordinates.
Sites, in units of the cell vectors:
1 Cr 0.000 0.000 0.000  3.17
2 Cr 0.250 0.250 0.250  2.63
3 Ir 0.500 0.500 0.500  -0.13
4 Tl 0.750 0.750 0.750  -0.06

## Properties
- Symmetry: F-43m
- Offset from the most stable computed form: 0.784 eV per formula unit
- DFT formation energy: 570 meV per atom



Record 6
Material: Ho4Ge8Pt
Method: DFT, PBE
State: optimized geometry

Cell: 3.989 4.089 16.540 Å, 90.00 90.00 90.00°
Sites, in units of the cell vectors:
1 Ho 0.000 0.000 0.094
2 Ho 0.000 0.500 0.612
3 Ho 0.500 0.500 0.401
4 Ho 0.500 0.000 0.892
5 Ge 0.000 0.000 0.472
6 Ge 0.000 0.500 0.938
7 Ge 0.500 0.500 0.039
8 Ge 0.500 0.000 0.569
9 Ge 0.000 0.500 0.230
10 Ge 0.000 0.000 0.749
11 Ge 0.500 0.000 0.228
12 Ge 0.500 0.500 0.755
13 Pt 0.000 0.000 0.324

## Properties
- Symmetry: Pmm2
- DFT formation energy: -655 meV per atom



Record 7
Material: KScMnI6
Method: DFT, PBE
State: optimized geometry

Cell: 7.530 7.530 15.730 Å, 90.00 90.00 120.00°
Site moments in Bohr magnetons follow the coordinates.
Sites, in units of the cell vectors:
1 K 0.000 0.000 0.000  0.00
2 K 0.000 0.000 0.500  0.00
3 Sc 0.333 0.667 0.250  0.02
4 Sc 0.667 0.333 0.750  0.02
5 Mn 0.667 0.333 0.250  4.34
6 Mn 0.333 0.667 0.750  4.34
7 I 0.629 0.630 0.144  0.03
8 I 0.001 0.371 0.144  0.03
9 I 0.371 0.001 0.644  0.03
10 I 0.999 0.629 0.856  0.03
11 I 0.370 0.371 0.356  0.03
12 I 0.001 0.630 0.356  0.03
13 I 0.630 0.001 0.856  0.03
14 I 0.629 0.999 0.356  0.03
15 I 0.999 0.370 0.644  0.03
16 I 0.370 0.999 0.144  0.03
17 I 0.630 0.629 0.644  0.03
18 I 0.371 0.370 0.856  0.03

## Properties
- Energy relative to the elements, uncorrected: -1.013 eV per atom
- Symmetry: P-31c



no.,raw total energy (eV/atom),magnetic moment (μB/atom)
1,-3.003,0.000
2,-3.683,0.000
3,-5.687,0.047
4,-3.565,0.000
5,-7.048,1.500
6,-5.370,0.000
7,-3.891,0.556